Record 1
First-principles (PBE) data for a relaxed structure of MgTc2Ag, as listed in the Alexandria database.

Cell: 2.9940 2.9940 7.4042 Å, 90.00 90.00 90.00°
Positions (direct):
Mg (0.0000, 0.0000, 0.0000)
Tc (0.0000, 0.0000, 0.4512)
Tc (0.5000, 0.5000, 0.2636)
Ag (0.5000, 0.5000, 0.7349)

Calculated values
Total energy: -24.832 eV per cell
Space-group type: P4mm (99)
Crystal system: tetragonal
DOS(E_F): 2.63 states/eV/cell

=====

Record 2
First-principles (PBE) data for a relaxed structure of KNb3Pt, as listed in the Alexandria database.

Cell: 5.0587 5.0587 5.0587 Å, 90.00 90.00 90.00°
Positions (direct):
K (0.0000, 0.0000, 0.0000)
Nb (0.0000, 0.5000, 0.5000)
Nb (0.5000, 0.0000, 0.5000)
Nb (0.5000, 0.5000, 0.0000)
Pt (0.5000, 0.5000, 0.5000)

Calculated values
Total energy: -31.280 eV per cell
Space-group type: Pm-3m (221)
Crystal system: cubic
DOS(E_F): 5.19 states/eV/cell

=====

Record 3
First-principles (PBE) data for a relaxed structure of Mg2GaAg6, as listed in the Alexandria database.

Cell: 8.6047 8.6047 4.3140 Å, 90.00 90.00 90.00°
Positions (direct):
Mg (0.1899, 0.1899, 0.0000)
Mg (0.3101, 0.6899, 0.5000)
Mg (0.6899, 0.3101, 0.5000)
Mg (0.8101, 0.8101, 0.0000)
Ga (0.0000, 0.0000, 0.5000)
Ga (0.5000, 0.5000, 0.0000)
Ag (0.0204, 0.3318, 0.5000)
Ag (0.1399, 0.8601, 0.0000)
Ag (0.1682, 0.5204, 0.0000)
Ag (0.3318, 0.0204, 0.5000)
Ag (0.3601, 0.3601, 0.5000)
Ag (0.4796, 0.8318, 0.0000)
Ag (0.5204, 0.1682, 0.0000)
Ag (0.6399, 0.6399, 0.5000)
Ag (0.6682, 0.9796, 0.5000)
Ag (0.8318, 0.4796, 0.0000)
Ag (0.8601, 0.1399, 0.0000)
Ag (0.9796, 0.6682, 0.5000)

Calculated values
Total energy: -49.195 eV per cell
Space-group type: P4_2/mnm (136)
Crystal system: tetragonal
DOS(E_F): 3.07 states/eV/cell

=====

Computed ΔE_f (kJ per mole of atoms) in order:
8.3 117.1 -13.7